i) The following is a DFT calculation (PBE-GGA) of crystalline LuMgTaOs at its relaxed geometry.

abc: 4.676 4.676 4.676
angles: 60.00 60.00 60.00
Element x y z (fractional)
Lu (0.500, 0.500, 0.500)
Mg (0.750, 0.750, 0.750)
Os (0.000, 0.000, 0.000)
Ta (0.250, 0.250, 0.250)

Calculated values
Spin magnetization in μB/cell: 0.00

***

ii) The following is a DFT calculation (PBE-GGA) of crystalline LuMgTaOs at its relaxed geometry.

abc: 4.713 4.713 4.713
angles: 60.00 60.00 60.00
Element x y z (fractional)
Lu (0.000, 0.000, 0.000)
Mg (0.750, 0.750, 0.750)
Os (0.250, 0.250, 0.250)
Ta (0.500, 0.500, 0.500)

Calculated values
Spin magnetization in μB/cell: 0.00

***

Energies relative to the most stable structure, in eV/atom: i) 0.045; ii) 0.000.

***

i) The following is a DFT calculation (PBE-GGA) of crystalline LuMgScPd at its relaxed geometry.

abc: 4.855 4.855 4.855
angles: 60.00 60.00 60.00
Element x y z (fractional)
Lu (0.250, 0.250, 0.250)
Mg (0.750, 0.750, 0.750)
Pd (0.500, 0.500, 0.500)
Sc (0.000, 0.000, 0.000)

Calculated values
Spin magnetization in μB/cell: 0.00

***

ii) The following is a DFT calculation (PBE-GGA) of crystalline LuMgScPd at its relaxed geometry.

abc: 4.923 4.923 4.923
angles: 60.00 60.00 60.00
Element x y z (fractional)
Lu (0.500, 0.500, 0.500)
Mg (0.750, 0.750, 0.750)
Pd (0.250, 0.250, 0.250)
Sc (0.000, 0.000, 0.000)

Calculated values
Spin magnetization in μB/cell: 0.00

***

Energies relative to the most stable structure, in eV/atom: i) 0.099; ii) 0.000.

***

i) The following is a DFT calculation (PBE-GGA) of crystalline LuMgTlPt at its relaxed geometry.

abc: 4.835 4.835 4.835
angles: 60.00 60.00 60.00
Element x y z (fractional)
Lu (0.000, 0.000, 0.000)
Mg (0.750, 0.750, 0.750)
Pt (0.500, 0.500, 0.500)
Tl (0.250, 0.250, 0.250)

Calculated values
Spin magnetization in μB/cell: 0.00

***

ii) The following is a DFT calculation (PBE-GGA) of crystalline LuMgTlPt at its relaxed geometry.

abc: 4.893 4.893 4.893
angles: 60.00 60.00 60.00
Element x y z (fractional)
Lu (0.250, 0.250, 0.250)
Mg (0.750, 0.750, 0.750)
Pt (0.500, 0.500, 0.500)
Tl (0.000, 0.000, 0.000)

Calculated values
Spin magnetization in μB/cell: 0.00

***

iii) The following is a DFT calculation (PBE-GGA) of crystalline LuMgTlPt at its relaxed geometry.

abc: 4.844 4.844 4.844
angles: 60.00 60.00 60.00
Element x y z (fractional)
Lu (0.500, 0.500, 0.500)
Mg (0.750, 0.750, 0.750)
Pt (0.250, 0.250, 0.250)
Tl (0.000, 0.000, 0.000)

Calculated values
Spin magnetization in μB/cell: 0.00

***

Energies relative to the most stable structure, in eV/atom: i) 0.224; ii) 0.000; iii) 0.137.

***

i) The following is a DFT calculation (PBE-GGA) of crystalline LuMgTc at its relaxed geometry.

abc: 4.697 4.697 4.697
angles: 60.00 60.00 60.00
Element x y z (fractional)
Lu (0.000, 0.000, 0.000)
Mg (0.250, 0.250, 0.250)
Tc (0.750, 0.750, 0.750)

Calculated values
Spin magnetization in μB/cell: 1.74

***

ii) The following is a DFT calculation (PBE-GGA) of crystalline LuMgTc at its relaxed geometry.

abc: 4.590 4.590 4.590
angles: 60.00 60.00 60.00
Element x y z (fractional)
Lu (0.250, 0.250, 0.250)
Mg (0.750, 0.750, 0.750)
Tc (0.000, 0.000, 0.000)

Calculated values
Spin magnetization in μB/cell: 0.08

***

Energies relative to the most stable structure, in eV/atom: i) 0.559; ii) 0.000.

***

i) The following is a DFT calculation (PBE-GGA) of crystalline LuMgTcTe at its relaxed geometry.

abc: 4.825 4.825 4.825
angles: 60.00 60.00 60.00
Element x y z (fractional)
Lu (0.500, 0.500, 0.500)
Mg (0.750, 0.750, 0.750)
Tc (0.000, 0.000, 0.000)
Te (0.250, 0.250, 0.250)

Calculated values
Spin magnetization in μB/cell: 0.00

***

ii) The following is a DFT calculation (PBE-GGA) of crystalline LuMgTcTe at its relaxed geometry.

abc: 4.892 4.892 4.892
angles: 60.00 60.00 60.00
Element x y z (fractional)
Lu (0.250, 0.250, 0.250)
Mg (0.750, 0.750, 0.750)
Tc (0.000, 0.000, 0.000)
Te (0.500, 0.500, 0.500)

Calculated values
Spin magnetization in μB/cell: 0.83

***

iii) The following is a DFT calculation (PBE-GGA) of crystalline LuMgTcTe at its relaxed geometry.

abc: 4.790 4.790 4.790
angles: 60.00 60.00 60.00
Element x y z (fractional)
Lu (0.000, 0.000, 0.000)
Mg (0.750, 0.750, 0.750)
Tc (0.250, 0.250, 0.250)
Te (0.500, 0.500, 0.500)

Calculated values
Spin magnetization in μB/cell: 0.01

***

Energies relative to the most stable structure, in eV/atom: i) 0.000; ii) 0.085; iii) 0.022.

***

i) The following is a DFT calculation (PBE-GGA) of crystalline LuMgTe at its relaxed geometry.

abc: 5.051 5.051 5.051
angles: 60.00 60.00 60.00
Element x y z (fractional)
Lu (0.250, 0.250, 0.250)
Mg (0.750, 0.750, 0.750)
Te (0.000, 0.000, 0.000)

Calculated values
Spin magnetization in μB/cell: 0.47

***

ii) The following is a DFT calculation (PBE-GGA) of crystalline LuMgTe at its relaxed geometry.

abc: 5.115 5.115 5.115
angles: 60.00 60.00 60.00
Element x y z (fractional)
Lu (0.000, 0.000, 0.000)
Mg (0.250, 0.250, 0.250)
Te (0.750, 0.750, 0.750)

Calculated values
Spin magnetization in μB/cell: 0.87

***

Energies relative to the most stable structure, in eV/atom: i) 0.000; ii) 0.014.

***

i) The following is a DFT calculation (PBE-GGA) of crystalline Lu2Mo at its relaxed geometry.

abc: 8.215 8.215 8.215
angles: 60.00 60.00 60.00
Site moments in Bohr magnetons follow the coordinates.
Element x y z (fractional)
Lu (0.875, 0.375, 0.375)  0.20
Lu (0.375, 0.875, 0.375)  0.26
Lu (0.375, 0.375, 0.375)  0.25
Lu (0.375, 0.375, 0.875)  0.26
Mo (0.250, 0.250, 0.250)  0.50
Mo (0.500, 0.500, 0.500)  0.50

Calculated values
Spin magnetization in μB/cell: 3.70

***

ii) The following is a DFT calculation (PBE-GGA) of crystalline Lu2Mo at its relaxed geometry.

abc: 5.803 5.803 5.803
angles: 60.00 60.00 60.00
Element x y z (fractional)
Lu (0.625, 0.625, 0.125)
Lu (0.625, 0.125, 0.625)
Lu (0.125, 0.625, 0.625)
Lu (0.625, 0.625, 0.625)
Mo (0.000, 0.000, 0.000)
Mo (0.250, 0.250, 0.250)

Calculated values
Spin magnetization in μB/cell: 0.06

***

Energies relative to the most stable structure, in eV/atom: i) 0.998; ii) 0.000.

***

i) The following is a DFT calculation (PBE-GGA) of crystalline NaLuMoOs at its relaxed geometry.

abc: 4.734 4.734 4.734
angles: 60.00 60.00 60.00
Element x y z (fractional)
Lu (0.250, 0.250, 0.250)
Mo (0.000, 0.000, 0.000)
Na (0.750, 0.750, 0.750)
Os (0.500, 0.500, 0.500)

Calculated values
Spin magnetization in μB/cell: 2.84

***

ii) The following is a DFT calculation (PBE-GGA) of crystalline NaLuMoOs at its relaxed geometry.

abc: 4.662 4.662 4.662
angles: 60.00 60.00 60.00
Element x y z (fractional)
Lu (0.500, 0.500, 0.500)
Mo (0.000, 0.000, 0.000)
Na (0.750, 0.750, 0.750)
Os (0.250, 0.250, 0.250)

Calculated values
Spin magnetization in μB/cell: 0.03

***

Energies relative to the most stable structure, in eV/atom: i) 0.544; ii) 0.000.

***

i) The following is a DFT calculation (PBE-GGA) of crystalline LuNiSbMo at its relaxed geometry.

abc: 4.635 4.635 4.635
angles: 60.00 60.00 60.00
Element x y z (fractional)
Lu (0.500, 0.500, 0.500)
Mo (0.250, 0.250, 0.250)
Ni (0.750, 0.750, 0.750)
Sb (0.000, 0.000, 0.000)

Calculated values
Spin magnetization in μB/cell: 0.00

***

ii) The following is a DFT calculation (PBE-GGA) of crystalline LuNiSbMo at its relaxed geometry.

abc: 4.765 4.765 4.765
angles: 60.00 60.00 60.00
Element x y z (fractional)
Lu (0.250, 0.250, 0.250)
Mo (0.500, 0.500, 0.500)
Ni (0.750, 0.750, 0.750)
Sb (0.000, 0.000, 0.000)

Calculated values
Spin magnetization in μB/cell: 3.18

***

Energies relative to the most stable structure, in eV/atom: i) 0.000; ii) 0.427.

***

i) The following is a DFT calculation (PBE-GGA) of crystalline LuZnNiMo at its relaxed geometry.

abc: 4.549 4.549 4.549
angles: 60.00 60.00 60.00
Element x y z (fractional)
Lu (0.250, 0.250, 0.250)
Mo (0.500, 0.500, 0.500)
Ni (0.750, 0.750, 0.750)
Zn (0.000, 0.000, 0.000)

Calculated values
Spin magnetization in μB/cell: 3.00

***

ii) The following is a DFT calculation (PBE-GGA) of crystalline LuZnNiMo at its relaxed geometry.

abc: 4.547 4.547 4.547
angles: 60.00 60.00 60.00
Element x y z (fractional)
Lu (0.500, 0.500, 0.500)
Mo (0.250, 0.250, 0.250)
Ni (0.750, 0.750, 0.750)
Zn (0.000, 0.000, 0.000)

Calculated values
Spin magnetization in μB/cell: 2.82

***

Energies relative to the most stable structure, in eV/atom: i) 0.063; ii) 0.000.

***

i) The following is a DFT calculation (PBE-GGA) of crystalline LuMoPt at its relaxed geometry.

abc: 4.503 4.503 4.503
angles: 60.00 60.00 60.00
Element x y z (fractional)
Lu (0.250, 0.250, 0.250)
Mo (0.750, 0.750, 0.750)
Pt (0.000, 0.000, 0.000)

Calculated values
Spin magnetization in μB/cell: 0.87

***

ii) The following is a DFT calculation (PBE-GGA) of crystalline LuMoPt at its relaxed geometry.

abc: 4.526 4.526 4.526
angles: 60.00 60.00 60.00
Element x y z (fractional)
Lu (0.000, 0.000, 0.000)
Mo (0.250, 0.250, 0.250)
Pt (0.750, 0.750, 0.750)

Calculated values
Spin magnetization in μB/cell: 2.94

***

Energies relative to the most stable structure, in eV/atom: i) 0.000; ii) 0.573.

***

i) The following is a DFT calculation (PBE-GGA) of crystalline LuPaNO at its relaxed geometry.

abc: 4.560 4.560 6.243
angles: 90.00 90.00 90.00
Element x y z (fractional)
Lu (0.750, 0.750, 0.021)
Lu (0.250, 0.250, 0.979)
N (0.750, 0.750, 0.369)
N (0.250, 0.250, 0.631)
O (0.750, 0.250, 0.000)
O (0.250, 0.750, 0.000)
Pa (0.750, 0.250, 0.500)
Pa (0.250, 0.750, 0.500)

Calculated values
Spin magnetization in μB/cell: 2.09

***

ii) The following is a DFT calculation (PBE-GGA) of crystalline LuPaNO at its relaxed geometry.

abc: 3.894 5.061 6.824
angles: 90.00 90.00 90.00
Site moments in Bohr magnetons follow the coordinates.
Element x y z (fractional)
Lu (0.000, 0.439, 0.333)  0.01
Lu (0.000, 0.939, 0.667)  0.01
N (0.000, 0.937, 0.347)  -0.02
N (0.000, 0.437, 0.653)  -0.02
O (0.500, 0.439, 0.201)  0.00
O (0.500, 0.939, 0.799)  0.00
Pa (0.500, 0.939, 0.154)  1.08
Pa (0.500, 0.439, 0.846)  1.08

Calculated values
Spin magnetization in μB/cell: 2.35

***

Energies relative to the most stable structure, in eV/atom: i) 0.169; ii) 0.000.